Record 1
! AcCd6, optimized geometry, DFT PBE-GGA; values from VASP
! **E_tot**: -0.83 eV per atom
! **Formation energy**: 3.8 eV per formula unit
! **Energy above the most stable polymorph in this dataset**: 724 meV/atom
! **Space-group type**: Pm-3m
&SYSTEM
  ibrav = 0, nat = 7, ntyp = 2
/
ATOMIC_SPECIES
Ac 227.00 Ac.upf
Cd 112.41 Cd.upf
CELL_PARAMETERS angstrom
6.691 0.000 0.000
0.000 6.691 0.000
0.000 0.000 6.691
ATOMIC_POSITIONS crystal
Ac 0.000 0.000 0.000
Cd 0.194 0.500 0.500
Cd 0.500 0.194 0.500
Cd 0.500 0.500 0.194
Cd 0.500 0.500 0.806
Cd 0.500 0.806 0.500
Cd 0.806 0.500 0.500

---

Record 2
! CdOs, optimized geometry, DFT PBE-GGA; values from VASP
! **E_tot**: -3.92 eV per atom
! **Formation energy**: 4.3 eV per formula unit
! **Space-group type**: P6_3/mmc
&SYSTEM
  ibrav = 0, nat = 4, ntyp = 2
/
ATOMIC_SPECIES
Cd 112.41 Cd.upf
Os 190.23 Os.upf
CELL_PARAMETERS angstrom
4.640 0.000 0.000
-2.320 4.019 0.000
0.000 0.000 5.386
ATOMIC_POSITIONS crystal
Cd 0.333 0.667 0.250
Cd 0.667 0.333 0.750
Os 0.333 0.667 0.750
Os 0.667 0.333 0.250

---

Record 3
! KZnTe2, optimized geometry, DFT PBE-GGA; values from VASP
! **E_form (uncorrected)**: -0.1827 eV/atom
! **E_tot**: -2.35 eV per atom
! **Space-group type**: C2/m
&SYSTEM
  ibrav = 0, nat = 4, ntyp = 3
/
ATOMIC_SPECIES
K 39.10 K.upf
Zn 65.41 Zn.upf
Te 127.60 Te.upf
CELL_PARAMETERS angstrom
4.241 -4.260 0.000
4.241 4.260 0.000
-0.027 0.000 3.225
ATOMIC_POSITIONS crystal
K 0.000 0.000 0.000
Zn 0.500 0.500 0.000
Te 0.000 0.500 0.500
Te 0.500 0.000 0.500

---

Record 4
! Pm2Dy2Y4Tm, optimized geometry, DFT PBE-GGA; values from VASP
! **E_tot**: -5.45 eV per atom
! **Formation energy**: 0.0 eV per formula unit
! **Space-group type**: C2/m
&SYSTEM
  ibrav = 0, nat = 9, ntyp = 4
/
ATOMIC_SPECIES
Pm 145.00 Pm.upf
Dy 162.50 Dy.upf
Y 88.91 Y.upf
Tm 168.93 Tm.upf
CELL_PARAMETERS angstrom
9.353 -1.803 0.000
9.353 1.803 0.000
-4.155 0.000 8.630
ATOMIC_POSITIONS crystal
Pm 0.165 0.165 0.497
Pm 0.835 0.835 0.503
Dy 0.352 0.352 0.836
Dy 0.648 0.648 0.164
Y 0.019 0.019 0.835
Y 0.315 0.315 0.166
Y 0.685 0.685 0.834
Y 0.981 0.981 0.165
Tm 0.500 0.500 0.500

---

Record 5
! SrZn2As, optimized geometry, DFT PBE-GGA; values from VASP
! **E_tot**: -2.62 eV per atom
! **Formation energy**: -1.6 eV per formula unit
! **Space-group type**: R3m
&SYSTEM
  ibrav = 0, nat = 4, ntyp = 3
/
ATOMIC_SPECIES
Sr 87.62 Sr.upf
Zn 65.41 Zn.upf
As 74.92 As.upf
CELL_PARAMETERS angstrom
2.137 1.234 5.907
-2.137 1.234 5.907
0.000 -2.468 5.907
ATOMIC_POSITIONS crystal
Sr 0.000 0.000 0.000
Zn 0.221 0.221 0.221
Zn 0.504 0.504 0.504
As 0.781 0.781 0.781

---

Record 6
! Tl3HgP, optimized geometry, DFT PBE-GGA; values from VASP
! **E_tot**: -2.25 eV per atom
! **Formation energy**: 1.6 eV per formula unit
! **Energy above the most stable polymorph in this dataset**: 212 meV/atom
! **Space-group type**: Pm-3m
&SYSTEM
  ibrav = 0, nat = 5, ntyp = 3
/
ATOMIC_SPECIES
Tl 204.38 Tl.upf
Hg 200.59 Hg.upf
P 30.97 P.upf
CELL_PARAMETERS angstrom
5.477 0.000 0.000
0.000 5.477 0.000
0.000 0.000 5.477
ATOMIC_POSITIONS crystal
Tl 0.000 0.000 0.500
Tl 0.000 0.500 0.000
Tl 0.500 0.000 0.000
Hg 0.500 0.500 0.500
P 0.000 0.000 0.000

---

Question: Which of these has the lowest E_tot?
Answer: Pm2Dy2Y4Tm

---

Question: The lowest E_tot belongs to which entry?
Answer: Pm2Dy2Y4Tm

---

Question: E_tot of number 4 (Pm2Dy2Y4Tm)?
Answer: -5.45 eV per atom